Crystalline CrTe2PtI at its relaxed geometry, computed with PBE.

Cell: 4.901 4.901 5.491 Å, 90.00 90.00 90.00°
Sites, in units of the cell vectors:
Te 0.000 0.500 0.000
Te 0.500 0.000 0.000
I 0.000 0.000 0.500
Pt 0.500 0.500 0.500
Cr 0.000 0.000 0.000

Summary:
raw formation energy: 878 meV/atom
crystal system: tetragonal
ΔE to the lowest computed polymorph: 279 meV per atom

Crystalline Ac3Ga8Ni3 at its relaxed geometry, computed with PBE.

Cell: 4.535 8.534 8.789 Å, 62.04 75.05 74.59°
Sites, in units of the cell vectors:
Ni 0.000 0.500 0.500
Ni 0.654 0.692 0.001
Ni 0.346 0.308 0.999
Ga 0.513 0.662 0.312
Ga 0.877 0.830 0.417
Ga 0.355 0.021 0.269
Ga 0.157 0.568 0.118
Ga 0.843 0.432 0.882
Ga 0.123 0.170 0.583
Ga 0.645 0.979 0.731
Ga 0.487 0.338 0.688
Ac 0.000 0.000 0.000
Ac 0.711 0.271 0.306
Ac 0.289 0.729 0.694

Summary:
crystal system: monoclinic
ΔE_f: -6.18 eV/f.u.

Crystalline GeTePb2Se2 at its relaxed geometry, computed with PBE.

Cell: 4.327 4.327 10.879 Å, 90.00 90.00 120.00°
Sites, in units of the cell vectors:
Ge 0.000 0.000 0.005
Se 0.000 0.000 0.503
Se 0.333 0.667 0.162
Te 0.667 0.333 0.864
Pb 0.667 0.333 0.313
Pb 0.333 0.667 0.653

Summary:
raw formation energy: -384 meV/atom
crystal system: trigonal

Crystalline Na4SnPb at its relaxed geometry, computed with PBE.

Cell: 6.274 6.274 6.274 Å, 60.00 60.00 60.00°
Sites, in units of the cell vectors:
Na 0.625 0.625 0.625
Na 0.625 0.625 0.125
Na 0.625 0.125 0.625
Na 0.125 0.625 0.625
Sn 0.000 0.000 0.000
Pb 0.250 0.250 0.250

Summary:
crystal system: cubic
ΔE_f: 0.20 eV/f.u.
ΔE to the lowest computed polymorph: 167 meV per atom

The calculation returns the following total magnetic moment values, one per record and in order: 0.0; 0.0; 0.0; 0.0 μB/f.u..